[1]
! Tb8TmMg2 GGA-PBE relaxed; values from VASP
&SYSTEM
  ibrav = 0, nat = 11, ntyp = 3
/
ATOMIC_SPECIES
Tb 158.93 Tb.upf
Tm 168.93 Tm.upf
Mg 24.30 Mg.upf
CELL_PARAMETERS angstrom
5.609 -0.364 -0.547
-1.464 8.742 -0.866
-1.464 -4.166 7.734
ATOMIC_POSITIONS angstrom
Tb 2.552 4.744 3.998
Tb 2.552 1.863 5.918
Tb -0.074 2.608 3.914
Tb 1.340 5.834 0.677
Tb 1.340 -1.622 5.644
Tb 2.755 1.604 2.407
Tb 0.128 2.349 0.403
Tb 0.128 -0.533 2.323
Tm 2.804 -0.182 -0.273
Mg -1.464 -0.205 5.095
Mg -1.464 4.781 1.773
! V, Å³/cell: 344.0
! Relative energy among the computed polymorphs, eV/atom: 0.124
! Size of the total moment, μB per atom: 0.000
! DFT total energy, eV/atom: -3.9262
! Density, g/cm3: 7.19

[2]
! Tb4Tm5Mg GGA-PBE relaxed; values from VASP
&SYSTEM
  ibrav = 0, nat = 10, ntyp = 3
/
ATOMIC_SPECIES
Tb 158.93 Tb.upf
Tm 168.93 Tm.upf
Mg 24.30 Mg.upf
CELL_PARAMETERS angstrom
-4.033 -2.753 -2.842
3.105 -3.938 -6.207
-0.973 -7.369 2.902
ATOMIC_POSITIONS angstrom
Tb -1.521 -7.536 -1.322
Tb -1.696 -9.833 -4.464
Tb 0.120 -4.005 -1.454
Tb -0.056 -6.301 -4.597
Tm -2.912 -10.941 -1.584
Tm 1.935 -8.949 -4.775
Tm -3.453 -4.848 -1.102
Tm 1.394 -2.856 -4.293
Tm -2.708 -1.848 -1.909
Mg -0.768 -0.524 -0.541
! V, Å³/cell: 314.6
! Relative energy among the computed polymorphs, eV/atom: 0.202
! Size of the total moment, μB per atom: 0.000
! DFT total energy, eV/atom: -4.0414
! Density, g/cm3: 7.94

[3]
! Tb6Tm8Mg GGA-PBE relaxed; values from VASP
&SYSTEM
  ibrav = 0, nat = 15, ntyp = 3
/
ATOMIC_SPECIES
Tb 158.93 Tb.upf
Tm 168.93 Tm.upf
Mg 24.30 Mg.upf
CELL_PARAMETERS angstrom
-5.677 3.294 -0.051
-4.428 -7.672 -2.585
1.039 1.930 8.964
ATOMIC_POSITIONS angstrom
Tb -6.316 -3.085 -0.987
Tb -6.809 -3.874 2.918
Tb -4.871 -0.550 1.771
Tb -2.751 0.636 7.315
Tb -2.258 1.425 3.409
Tb -4.196 -1.898 4.557
Tm -9.108 -3.958 0.237
Tm -7.439 -1.020 4.150
Tm -6.553 0.431 -0.732
Tm 0.041 1.509 6.090
Tm -1.628 -1.428 2.177
Tm -2.514 -2.879 7.060
Tm -5.502 1.467 5.072
Tm -3.565 -3.915 1.256
Mg -2.839 1.647 -0.026
! V, Å³/cell: 484.1
! Size of the total moment, μB per atom: 0.000
! DFT total energy, eV/atom: -4.0901
! Density, g/cm3: 7.99

[4]
! Tb4Tm3Mg GGA-PBE relaxed; values from VASP
&SYSTEM
  ibrav = 0, nat = 16, ntyp = 3
/
ATOMIC_SPECIES
Tb 158.93 Tb.upf
Tm 168.93 Tm.upf
Mg 24.30 Mg.upf
CELL_PARAMETERS angstrom
-5.432 -2.405 -1.668
3.240 -5.911 -2.027
-1.283 -4.225 10.268
ATOMIC_POSITIONS angstrom
Tb 1.957 -5.561 -2.043
Tb -3.059 -2.285 -1.323
Tb -5.254 -4.172 0.600
Tb -0.153 -7.396 0.048
Tb 1.434 -7.608 3.133
Tb -3.830 -4.443 3.777
Tb -0.780 -9.461 5.066
Tb -5.911 -6.332 5.850
Tm -1.450 -5.251 -2.342
Tm -3.598 -7.063 -0.363
Tm -1.685 -4.450 1.050
Tm -0.202 -4.654 4.143
Tm -2.316 -6.528 6.101
Tm -4.250 -9.210 4.854
Mg 0.433 -2.622 -1.025
Mg -2.167 -7.319 2.801
! V, Å³/cell: 485.4
! Relative energy among the computed polymorphs, eV/atom: 0.010
! Size of the total moment, μB per atom: 0.000
! DFT total energy, eV/atom: -4.1832
! Density, g/cm3: 7.98

[5]
! TbTm4Mg GGA-PBE relaxed; values from VASP
&SYSTEM
  ibrav = 0, nat = 12, ntyp = 3
/
ATOMIC_SPECIES
Tb 158.93 Tb.upf
Tm 168.93 Tm.upf
Mg 24.30 Mg.upf
CELL_PARAMETERS angstrom
-5.964 -0.736 0.195
-2.489 -4.811 -2.609
-1.789 -7.542 8.741
ATOMIC_POSITIONS angstrom
Tb -3.876 -4.139 4.468
Tb -1.244 -2.405 -1.305
Tm -4.451 -7.174 5.984
Tm -3.552 -7.117 2.663
Tm -6.690 -5.971 3.664
Tm -2.983 -4.076 1.151
Tm -7.259 -9.012 5.176
Tm -5.837 -11.791 6.624
Tm -4.405 -1.297 -0.297
Tm -5.791 -5.914 0.342
Mg -6.131 -2.950 2.154
Mg -4.111 -10.138 4.172
! V, Å³/cell: 350.7
! Relative energy among the computed polymorphs, eV/atom: 0.041
! Size of the total moment, μB per atom: 0.000
! DFT total energy, eV/atom: -3.9839
! Density, g/cm3: 8.13

[6]
! Tb2Tm3Mg8 GGA-PBE relaxed; values from VASP
&SYSTEM
  ibrav = 0, nat = 13, ntyp = 3
/
ATOMIC_SPECIES
Tb 158.93 Tb.upf
Tm 168.93 Tm.upf
Mg 24.30 Mg.upf
CELL_PARAMETERS angstrom
5.835 0.000 0.000
2.917 5.053 0.000
2.917 1.684 12.249
ATOMIC_POSITIONS angstrom
Tb 5.835 3.369 0.997
Tb 5.835 3.369 11.252
Tm 0.000 0.000 0.000
Tm 8.752 5.053 6.747
Tm 2.917 1.684 5.502
Mg 8.752 5.053 10.088
Mg 2.917 1.684 2.161
Mg 4.374 4.212 3.851
Mg 5.835 1.682 3.851
Mg 7.295 4.212 3.851
Mg 5.835 5.055 8.398
Mg 7.295 2.526 8.398
Mg 4.374 2.526 8.398
! V, Å³/cell: 361.2
! Size of the total moment, μB per atom: 0.000
! DFT total energy, eV/atom: -2.5940
! Density, g/cm3: 4.69

[7]
! Tb7Tm3Mg2 GGA-PBE relaxed; values from VASP
&SYSTEM
  ibrav = 0, nat = 12, ntyp = 3
/
ATOMIC_SPECIES
Tb 158.93 Tb.upf
Tm 168.93 Tm.upf
Mg 24.30 Mg.upf
CELL_PARAMETERS angstrom
-3.172 0.074 1.569
-0.360 -5.672 -0.458
8.330 2.650 16.716
ATOMIC_POSITIONS angstrom
Tb 2.005 -2.822 8.181
Tb 2.793 -0.125 9.646
Tb 1.055 -2.320 2.243
Tb 0.000 0.000 0.000
Tb 6.915 -0.702 14.015
Tb 4.940 -3.441 14.144
Tb -0.142 0.493 3.683
Tm -1.766 -2.799 0.556
Tm 3.019 0.139 6.098
Tm 4.951 -3.162 10.160
Mg 0.653 -2.544 5.434
Mg 4.145 -0.404 12.393
! V, Å³/cell: 369.7
! Size of the total moment, μB per atom: 0.000
! DFT total energy, eV/atom: -3.9831
! Density, g/cm3: 7.49

[8]
! TbTm3Mg3 GGA-PBE relaxed; values from VASP
&SYSTEM
  ibrav = 0, nat = 14, ntyp = 3
/
ATOMIC_SPECIES
Tb 158.93 Tb.upf
Tm 168.93 Tm.upf
Mg 24.30 Mg.upf
CELL_PARAMETERS angstrom
-1.978 4.838 -1.611
-7.899 -1.913 3.954
6.495 4.214 4.679
ATOMIC_POSITIONS angstrom
Tb 0.209 5.799 3.231
Tb -3.592 1.339 3.791
Tm -1.272 6.207 6.277
Tm -1.482 4.263 0.695
Tm 3.390 6.929 2.720
Tm -2.110 0.931 0.745
Tm -1.901 2.875 6.327
Tm -6.772 0.209 4.302
Mg -6.146 3.514 4.172
Mg -4.650 3.109 1.120
Mg -2.959 4.650 3.672
Mg 2.764 3.625 2.850
Mg 1.268 4.029 5.902
Mg -0.423 2.488 3.350
! V, Å³/cell: 387.3
! Size of the total moment, μB per atom: 0.000
! DFT total energy, eV/atom: -3.2547
! Density, g/cm3: 6.33

[9]
! Tb5Tm12Mg2 GGA-PBE relaxed; values from VASP
&SYSTEM
  ibrav = 0, nat = 19, ntyp = 3
/
ATOMIC_SPECIES
Tb 158.93 Tb.upf
Tm 168.93 Tm.upf
Mg 24.30 Mg.upf
CELL_PARAMETERS angstrom
9.087 0.000 0.000
-4.543 7.689 1.234
0.000 -1.376 8.099
ATOMIC_POSITIONS angstrom
Tb 0.000 2.821 5.265
Tb 0.000 3.241 8.773
Tb 0.000 -0.688 4.050
Tb 4.543 3.072 0.560
Tb 4.543 3.492 4.068
Tm 4.543 6.199 1.904
Tm -2.875 4.312 6.978
Tm 2.875 4.312 6.978
Tm -1.757 5.300 3.625
Tm 1.757 5.300 3.625
Tm 0.000 5.902 6.514
Tm 4.543 0.411 2.819
Tm 6.301 1.013 5.708
Tm 2.786 1.013 5.708
Tm 7.418 2.001 2.355
Tm 1.669 2.001 2.355
Tm 0.000 0.114 7.429
Mg 6.124 0.000 0.000
Mg 2.963 0.000 0.000
! V, Å³/cell: 581.3
! Size of the total moment, μB per atom: 0.000
! DFT total energy, eV/atom: -4.1098
! Density, g/cm3: 8.20

[10]
! TbTm2Mg9 GGA-PBE relaxed; values from VASP
&SYSTEM
  ibrav = 0, nat = 12, ntyp = 3
/
ATOMIC_SPECIES
Tb 158.93 Tb.upf
Tm 168.93 Tm.upf
Mg 24.30 Mg.upf
CELL_PARAMETERS angstrom
-1.130 -1.259 4.332
2.869 -3.647 -0.312
10.412 7.766 4.974
ATOMIC_POSITIONS angstrom
Tb 0.000 0.000 0.000
Tm 3.480 2.596 1.663
Tm 6.932 5.170 3.312
Mg 0.869 -2.453 2.010
Mg 4.353 0.145 3.674
Mg 7.798 2.715 5.320
Mg 1.190 0.679 3.004
Mg 4.641 3.253 4.653
Mg 8.092 5.828 6.302
Mg 3.190 -0.514 0.683
Mg 6.641 2.060 2.331
Mg 10.092 4.634 3.980
! V, Å³/cell: 300.8
! Size of the total moment, μB per atom: 0.000
! DFT total energy, eV/atom: -2.3762
! Density, g/cm3: 3.95

[11]
! Tb4TmMg2 GGA-PBE relaxed; values from VASP
&SYSTEM
  ibrav = 0, nat = 7, ntyp = 3
/
ATOMIC_SPECIES
Tb 158.93 Tb.upf
Tm 168.93 Tm.upf
Mg 24.30 Mg.upf
CELL_PARAMETERS angstrom
5.185 0.000 1.620
2.339 4.627 1.620
0.163 0.100 8.585
ATOMIC_POSITIONS angstrom
Tb 6.438 3.959 6.717
Tb 1.250 0.768 5.108
Tb 4.363 2.683 4.249
Tb 3.324 2.044 7.575
Tm 0.000 0.000 0.000
Mg 5.489 3.376 9.754
Mg 2.198 1.352 2.071
! V, Å³/cell: 204.3
! Relative energy among the computed polymorphs, eV/atom: 0.000
! Size of the total moment, μB per atom: 0.000
! DFT total energy, eV/atom: -3.7527
! Density, g/cm3: 6.94

[12]
! Tb7Tm2Mg2 GGA-PBE relaxed; values from VASP
&SYSTEM
  ibrav = 0, nat = 11, ntyp = 3
/
ATOMIC_SPECIES
Tb 158.93 Tb.upf
Tm 168.93 Tm.upf
Mg 24.30 Mg.upf
CELL_PARAMETERS angstrom
5.331 1.113 1.607
0.219 7.882 1.743
0.219 -1.136 7.992
ATOMIC_POSITIONS angstrom
Tb 1.122 -0.361 5.132
Tb 4.647 2.928 9.878
Tb 4.647 8.221 6.210
Tb 1.122 4.932 1.464
Tb 0.000 0.000 0.000
Tb 3.918 5.981 8.631
Tb 1.851 1.879 2.711
Tm 2.884 1.402 7.422
Tm 2.884 6.457 3.919
Mg 4.374 3.869 5.584
Mg 1.394 3.990 5.758
! V, Å³/cell: 341.7
! Relative energy among the computed polymorphs, eV/atom: 0.000
! Size of the total moment, μB per atom: 0.000
! DFT total energy, eV/atom: -3.8862
! Density, g/cm3: 7.28

[13]
! Tb4Tm5Mg GGA-PBE relaxed; values from VASP
&SYSTEM
  ibrav = 0, nat = 10, ntyp = 3
/
ATOMIC_SPECIES
Tb 158.93 Tb.upf
Tm 168.93 Tm.upf
Mg 24.30 Mg.upf
CELL_PARAMETERS angstrom
-2.408 2.457 0.767
-1.261 -0.210 -3.285
-15.453 -17.344 7.038
ATOMIC_POSITIONS angstrom
Tb -2.960 -3.322 1.348
Tb -6.140 -6.891 2.796
Tb -9.314 -10.453 4.242
Tb -12.494 -14.023 5.690
Tm -3.240 -0.454 -0.619
Tm -6.386 -3.985 0.814
Tm -9.561 -7.549 2.260
Tm -12.736 -11.112 3.706
Tm -15.882 -14.643 5.139
Mg 0.000 0.000 0.000
! V, Å³/cell: 301.6
! Relative energy among the computed polymorphs, eV/atom: 0.000
! Size of the total moment, μB per atom: 0.000
! DFT total energy, eV/atom: -4.2434
! Density, g/cm3: 8.28

[14]
! Tb2TmMg6 GGA-PBE relaxed; values from VASP
&SYSTEM
  ibrav = 0, nat = 9, ntyp = 3
/
ATOMIC_SPECIES
Tb 158.93 Tb.upf
Tm 168.93 Tm.upf
Mg 24.30 Mg.upf
CELL_PARAMETERS angstrom
3.275 0.000 0.001
0.000 7.856 4.518
-0.001 0.016 9.063
ATOMIC_POSITIONS angstrom
Tb 0.000 2.624 4.527
Tb 3.274 5.248 9.055
Tm 0.000 0.000 0.000
Mg 1.635 5.255 3.023
Mg 1.640 7.861 7.519
Mg 1.639 2.617 10.558
Mg 1.637 5.260 6.023
Mg 1.634 0.011 6.062
Mg 1.637 2.612 7.558
! V, Å³/cell: 232.9
! Size of the total moment, μB per atom: 0.000
! DFT total energy, eV/atom: -2.6583
! Density, g/cm3: 4.51

[15]
! Tb7Tm2Mg2 GGA-PBE relaxed; values from VASP
&SYSTEM
  ibrav = 0, nat = 11, ntyp = 3
/
ATOMIC_SPECIES
Tb 158.93 Tb.upf
Tm 168.93 Tm.upf
Mg 24.30 Mg.upf
CELL_PARAMETERS angstrom
-3.082 5.893 -0.431
-2.919 -4.065 -5.664
-3.210 -3.367 5.957
ATOMIC_POSITIONS angstrom
Tb -4.693 -4.011 -2.818
Tb -4.372 2.120 -3.178
Tb -4.518 2.472 2.681
Tb -4.839 -3.659 3.041
Tb 0.000 0.000 0.000
Tb -5.601 -2.127 -0.012
Tb -3.610 0.588 -0.125
Tm -4.711 -0.516 4.148
Tm -4.500 -1.023 -4.286
Mg -2.192 -2.393 0.089
Mg -7.019 0.854 -0.227
! V, Å³/cell: 344.4
! Relative energy among the computed polymorphs, eV/atom: 0.028
! Size of the total moment, μB per atom: 0.000
! DFT total energy, eV/atom: -3.8580
! Density, g/cm3: 7.23

[16]
! TbTm2Mg GGA-PBE relaxed; values from VASP
&SYSTEM
  ibrav = 0, nat = 4, ntyp = 3
/
ATOMIC_SPECIES
Mg 24.30 Mg.upf
Tm 168.93 Tm.upf
Tb 158.93 Tb.upf
CELL_PARAMETERS angstrom
-3.422 -1.853 2.975
3.068 -3.522 1.336
1.633 2.797 3.621
ATOMIC_POSITIONS angstrom
Mg -1.711 -0.926 1.487
Tm 0.817 1.398 1.810
Tm 1.534 -1.761 0.668
Tb 0.639 -1.289 3.966
! V, Å³/cell: 115.6
! Relative energy among the computed polymorphs, eV/atom: 0.058
! Size of the total moment, μB per atom: 0.000
! DFT total energy, eV/atom: -3.7601
! Density, g/cm3: 7.48

[17]
! Tb4TmMg2 GGA-PBE relaxed; values from VASP
&SYSTEM
  ibrav = 0, nat = 7, ntyp = 3
/
ATOMIC_SPECIES
Tb 158.93 Tb.upf
Tm 168.93 Tm.upf
Mg 24.30 Mg.upf
CELL_PARAMETERS angstrom
-2.050 -0.185 -5.120
-1.790 -4.785 -2.085
-9.314 -0.027 0.756
ATOMIC_POSITIONS angstrom
Tb -10.000 -3.720 -4.784
Tb -6.988 -4.331 -5.968
Tb -3.153 -1.277 -1.665
Tb -6.166 -0.665 -0.482
Tm -6.577 -2.498 -3.225
Mg -3.622 -3.098 -4.386
Mg -9.531 -1.899 -2.064
! V, Å³/cell: 231.7
! Relative energy among the computed polymorphs, eV/atom: 0.294
! Size of the total moment, μB per atom: 0.000
! DFT total energy, eV/atom: -3.4586
! Density, g/cm3: 6.12

[18]
! Tb6Tm12Mg GGA-PBE relaxed; values from VASP
&SYSTEM
  ibrav = 0, nat = 19, ntyp = 3
/
ATOMIC_SPECIES
Tb 158.93 Tb.upf
Tm 168.93 Tm.upf
Mg 24.30 Mg.upf
CELL_PARAMETERS angstrom
8.397 0.377 -1.428
-1.751 8.221 -1.428
0.291 0.377 8.512
ATOMIC_POSITIONS angstrom
Tb 1.026 1.329 3.097
Tb 6.468 5.504 5.275
Tb 3.697 7.647 5.274
Tb 5.911 7.646 2.560
Tb 0.470 3.470 0.382
Tb 3.240 1.328 0.383
Tm 4.871 1.808 3.973
Tm 0.523 5.170 3.973
Tm 3.996 5.170 -0.287
Tm 2.066 7.166 1.685
Tm 6.415 3.805 1.685
Tm 2.941 3.805 5.945
Tm 2.410 0.377 5.914
Tm 1.193 6.547 7.085
Tm 8.154 2.804 4.487
Tm 4.528 8.597 -0.257
Tm 5.744 2.427 -1.427
Tm -1.217 6.170 1.170
Mg 0.000 0.000 0.000
! V, Å³/cell: 602.0
! Size of the total moment, μB per atom: 0.000
! DFT total energy, eV/atom: -4.2284
! Density, g/cm3: 8.29

[19]
! Tb2Tm5Mg5 GGA-PBE relaxed; values from VASP
&SYSTEM
  ibrav = 0, nat = 12, ntyp = 3
/
ATOMIC_SPECIES
Tb 158.93 Tb.upf
Tm 168.93 Tm.upf
Mg 24.30 Mg.upf
CELL_PARAMETERS angstrom
-2.768 2.227 -3.857
5.012 -3.640 -2.135
-8.631 -6.865 2.231
ATOMIC_POSITIONS angstrom
Tb -5.746 -5.540 0.925
Tb -0.641 -2.738 -4.686
Tm -5.700 -2.319 -0.813
Tm -8.756 -6.447 -1.003
Tm -2.843 -1.158 -2.193
Tm -3.544 -7.119 -1.567
Tm 2.369 -1.831 -2.758
Mg -2.836 -4.143 -0.357
Mg -6.111 -5.454 -2.329
Mg -0.276 -2.824 -1.432
Mg -3.551 -4.135 -3.404
Mg 0.000 0.000 0.000
! V, Å³/cell: 333.1
! Size of the total moment, μB per atom: 0.000
! DFT total energy, eV/atom: -3.2826
! Density, g/cm3: 6.40

[20]
! Tb2TmMg GGA-PBE relaxed; values from VASP
&SYSTEM
  ibrav = 0, nat = 4, ntyp = 3
/
ATOMIC_SPECIES
Mg 24.30 Mg.upf
Tm 168.93 Tm.upf
Tb 158.93 Tb.upf
CELL_PARAMETERS angstrom
-1.768 0.285 -3.420
4.104 -2.810 -2.357
-2.663 -4.715 0.983
ATOMIC_POSITIONS angstrom
Mg -0.884 0.143 -1.710
Tm -0.164 -3.620 -2.397
Tb -1.332 -2.358 0.492
Tb 2.052 -1.405 -1.178
! V, Å³/cell: 117.0
! Relative energy among the computed polymorphs, eV/atom: 0.055
! Size of the total moment, μB per atom: 0.000
! DFT total energy, eV/atom: -3.8008
! Density, g/cm3: 7.26